# 1
# Nd3Ge6Pd2Pt | Alexandria | GGA-PBE | relaxed
# Magnetic moment ... 0.00 μB/f.u.
# D(E_F) ... 0.501 states/eV/atom
# Energy of formation from the pure elements ... -0.48 eV per atom
data_Nd3Ge6Pd2Pt
_chemical_formula_sum 'Nd3 Ge6 Pd2 Pt1'
_cell_length_a 5.9491
_cell_length_b 5.9491
_cell_length_c 8.3492
_cell_angle_alpha 90.00
_cell_angle_beta 90.00
_cell_angle_gamma 120.00
_space_group_name_H-M_alt 'P -3 m 1'
_space_group_IT_number 164
_space_group_name_Hall '-P 3 2"'
loop_
_atom_site_label
_atom_site_fract_x
_atom_site_fract_y
_atom_site_fract_z
_atom_site_occupancy
Nd1 0.0000 0.0000 0.0000 1
Nd2 0.3333 0.6667 0.6173 1
Ge1 0.1851 0.3702 0.2820 1
Pd1 0.3333 0.6667 0.0224 1
Pt1 0.0000 0.0000 0.5000 1

---

# 2
# MgAg2Os | Alexandria | GGA-PBE | relaxed
# Magnetic moment ... 0.00 μB/f.u.
# D(E_F) ... 0.690 states/eV/atom
# Energy of formation from the pure elements ... 0.35 eV per atom
data_MgAg2Os
_chemical_formula_sum 'Mg1 Ag2 Os1'
_cell_length_a 2.7251
_cell_length_b 4.2610
_cell_length_c 5.7698
_cell_angle_alpha 90.00
_cell_angle_beta 90.00
_cell_angle_gamma 90.00
_space_group_name_H-M_alt 'P m m 2'
_space_group_IT_number 25
_space_group_name_Hall 'P 2 -2'
loop_
_atom_site_label
_atom_site_fract_x
_atom_site_fract_y
_atom_site_fract_z
_atom_site_occupancy
Mg1 0.0000 0.0000 0.0000 1
Ag1 0.0000 0.0000 0.4784 1
Ag2 0.5000 0.5000 0.7301 1
Os1 0.5000 0.5000 0.2231 1

---

# 3
# NaAgPb2O | Alexandria | GGA-PBE | relaxed
# Magnetic moment ... 0.00 μB/f.u.
# E_form (uncorrected) ... 0.31 eV per atom
# D(E_F) ... 0.535 states/eV/atom
data_NaAgPb2O
_chemical_formula_sum 'Na1 Ag1 Pb2 O1'
_cell_length_a 5.6309
_cell_length_b 5.6309
_cell_length_c 3.9542
_cell_angle_alpha 90.00
_cell_angle_beta 90.00
_cell_angle_gamma 90.00
_space_group_name_H-M_alt 'P 4/m m m'
_space_group_IT_number 123
_space_group_name_Hall '-P 4 2'
loop_
_atom_site_label
_atom_site_fract_x
_atom_site_fract_y
_atom_site_fract_z
_atom_site_occupancy
Na1 0.0000 0.0000 0.0000 1
Ag1 0.5000 0.5000 0.5000 1
Pb1 0.0000 0.5000 0.0000 1
O1 0.0000 0.0000 0.5000 1

---

# 4
# Sn3As5Au12 | Alexandria | GGA-PBE | relaxed
# Magnetic moment ... 0.00 μB/f.u.
# D(E_F) ... 0.449 states/eV/atom
# Energy of formation from the pure elements ... 0.10 eV per atom
data_Sn3As5Au12
_chemical_formula_sum 'Sn24 As40 Au96'
_cell_length_a 15.5542
_cell_length_b 15.5542
_cell_length_c 15.5542
_cell_angle_alpha 90.00
_cell_angle_beta 90.00
_cell_angle_gamma 90.00
_space_group_name_H-M_alt 'I a -3 d'
_space_group_IT_number 230
_space_group_name_Hall '-I 4bd 2c 3'
loop_
_atom_site_label
_atom_site_fract_x
_atom_site_fract_y
_atom_site_fract_z
_atom_site_occupancy
Sn1 0.0000 0.2500 0.1250 1
As1 0.0000 0.0000 0.0000 1
As2 0.0000 0.2500 0.3750 1
Au1 0.0197 0.0727 0.6503 1

---

# 5
# Ba4PCl5 | Alexandria | GGA-PBE | relaxed
# Excess energy over the best structure of this formula in the dataset ... 0.00 eV per formula unit
# Magnetic moment ... 0.00 μB/f.u.
# E_form (uncorrected) ... -2.18 eV per atom
data_Ba4PCl5
_chemical_formula_sum 'Ba8 P2 Cl10'
_cell_length_a 4.8018
_cell_length_b 8.6791
_cell_length_c 17.7893
_cell_angle_alpha 90.00
_cell_angle_beta 90.00
_cell_angle_gamma 90.00
_space_group_name_H-M_alt 'I m m m'
_space_group_IT_number 71
_space_group_name_Hall '-I 2 2'
loop_
_atom_site_label
_atom_site_fract_x
_atom_site_fract_y
_atom_site_fract_z
_atom_site_occupancy
Ba1 0.0000 0.0000 0.1852 1
Ba2 0.0000 0.2544 0.5000 1
P1 0.0000 0.0000 0.0000 1
Cl1 0.0000 0.2626 0.3252 1
Cl2 0.0000 0.5000 0.0000 1

---

# 6
# Zr3Al4C6 | Alexandria | GGA-PBE | relaxed
# Magnetic moment ... 0.00 μB/f.u.
# D(E_F) ... 0.170 states/eV/atom
# Energy of formation from the pure elements ... -0.41 eV per atom
data_Zr3Al4C6
_chemical_formula_sum 'Zr9 Al12 C18'
_cell_length_a 3.3568
_cell_length_b 3.3568
_cell_length_c 49.3194
_cell_angle_alpha 90.00
_cell_angle_beta 90.00
_cell_angle_gamma 120.00
_space_group_name_H-M_alt 'R -3 m'
_space_group_IT_number 166
_space_group_name_Hall '-R 3 2"'
loop_
_atom_site_label
_atom_site_fract_x
_atom_site_fract_y
_atom_site_fract_z
_atom_site_occupancy
Zr1 0.0000 0.0000 0.0000 1
Zr2 0.0000 0.0000 0.3881 1
Al1 0.0000 0.0000 0.1477 1
Al2 0.0000 0.0000 0.2317 1
C1 0.0000 0.0000 0.0837 1
C2 0.0000 0.0000 0.1920 1
C3 0.0000 0.0000 0.3056 1

---

# 7
# Pa2Sn2S7 | Alexandria | GGA-PBE | relaxed
# Magnetic moment ... 0.00 μB/f.u.
# E_form (uncorrected) ... -1.11 eV per atom
data_Pa2Sn2S7
_chemical_formula_sum 'Pa4 Sn4 S14'
_cell_length_a 3.8792
_cell_length_b 14.6828
_cell_length_c 8.7257
_cell_angle_alpha 90.00
_cell_angle_beta 90.00
_cell_angle_gamma 90.00
_space_group_name_H-M_alt 'I m m 2'
_space_group_IT_number 44
_space_group_name_Hall 'I 2 -2'
loop_
_atom_site_label
_atom_site_fract_x
_atom_site_fract_y
_atom_site_fract_z
_atom_site_occupancy
Pa1 0.0000 0.2421 0.0000 1
Sn1 0.0000 0.0000 0.2429 1
Sn2 0.0000 0.5000 0.2391 1
S1 0.0000 0.0000 0.9428 1
S2 0.0000 0.1324 0.5136 1
S3 0.0000 0.3181 0.3061 1
S4 0.0000 0.3469 0.6895 1

---

# 8
# LaZn2W | Alexandria | GGA-PBE | relaxed
# Excess energy over the best structure of this formula in the dataset ... 0.42 eV per formula unit
# Magnetic moment ... 0.00 μB/f.u.
# D(E_F) ... 1.000 states/eV/atom
# Energy of formation from the pure elements ... 0.35 eV per atom
data_LaZn2W
_chemical_formula_sum 'La2 Zn4 W2'
_cell_length_a 9.6795
_cell_length_b 2.9426
_cell_length_c 5.7436
_cell_angle_alpha 90.00
_cell_angle_beta 99.20
_cell_angle_gamma 90.00
_space_group_name_H-M_alt 'C 1 2/m 1'
_space_group_IT_number 12
_space_group_name_Hall '-C 2y'
loop_
_atom_site_label
_atom_site_fract_x
_atom_site_fract_y
_atom_site_fract_z
_atom_site_occupancy
La1 0.0000 0.0000 0.0000 1
Zn1 0.2361 0.0000 0.6788 1
W1 0.0000 0.5000 0.5000 1

---

# 9
# CaInSi | Alexandria | GGA-PBE | relaxed
# Magnetic moment ... 0.00 μB/f.u.
# E_form (uncorrected) ... -0.15 eV per atom
# D(E_F) ... 1.075 states/eV/atom
data_CaInSi
_chemical_formula_sum 'Ca4 In4 Si4'
_cell_length_a 6.8008
_cell_length_b 6.8008
_cell_length_c 6.8008
_cell_angle_alpha 90.00
_cell_angle_beta 90.00
_cell_angle_gamma 90.00
_space_group_name_H-M_alt 'F -4 3 m'
_space_group_IT_number 216
_space_group_name_Hall 'F -4 2 3'
loop_
_atom_site_label
_atom_site_fract_x
_atom_site_fract_y
_atom_site_fract_z
_atom_site_occupancy
Ca1 0.0000 0.0000 0.0000 1
In1 0.0000 0.0000 0.5000 1
Si1 0.2500 0.2500 0.7500 1

---

# 10
# BaV2IrS8 | Alexandria | GGA-PBE | relaxed
# Magnetic moment ... 0.00 μB/f.u.
# E_form (uncorrected) ... -0.72 eV per atom
# D(E_F) ... 1.051 states/eV/atom
data_BaV2IrS8
_chemical_formula_sum 'Ba1 V2 Ir1 S8'
_cell_length_a 6.0615
_cell_length_b 6.0615
_cell_length_c 8.6398
_cell_angle_alpha 90.00
_cell_angle_beta 90.00
_cell_angle_gamma 120.00
_space_group_name_H-M_alt 'P -3'
_space_group_IT_number 147
_space_group_name_Hall '-P 3'
loop_
_atom_site_label
_atom_site_fract_x
_atom_site_fract_y
_atom_site_fract_z
_atom_site_occupancy
Ba1 0.0000 0.0000 0.0000 1
V1 0.3333 0.6667 0.7331 1
Ir1 0.0000 0.0000 0.5000 1
S1 0.0034 0.6878 0.3365 1
S2 0.3333 0.6667 0.9798 1